[1]
First-principles (PBE) data for an optimized crystal structure of CaCd2W, as listed in Alexandria via LeMat-Bulk. Values from VASP.

Values from the calculation:
D(E_F)	1.70	states/eV/cell
energy of formation	1.94	eV/f.u.

```
&SYSTEM
  ibrav = 0, nat = 4, ntyp = 3
/
ATOMIC_SPECIES
Ca 40.08 Ca.upf
W 183.84 W.upf
Cd 112.41 Cd.upf
ATOMIC_POSITIONS angstrom
Ca -2.338 -1.080 1.661
W -1.356 2.748 0.054
Cd 0.000 0.000 0.000
Cd -3.048 0.390 -0.933
CELL_PARAMETERS angstrom
-2.066 4.218 -2.540
-4.030 -3.438 0.675
-0.646 1.278 2.648
```

***

[2]
First-principles (PBE) data for an optimized crystal structure of GaHg2Cl3, as listed in Alexandria via LeMat-Bulk. Values from VASP.

Values from the calculation:
E_form (uncorrected)	-680	meV/atom
D(E_F)	0.00	states/eV/cell

```
&SYSTEM
  ibrav = 0, nat = 12, ntyp = 3
/
ATOMIC_SPECIES
Ga 69.72 Ga.upf
Hg 200.59 Hg.upf
Cl 35.45 Cl.upf
ATOMIC_POSITIONS angstrom
Ga 3.350 7.038 -1.937
Ga -3.394 5.614 9.155
Hg 2.873 1.968 0.335
Hg -2.917 10.685 6.883
Hg 0.174 9.207 6.823
Hg -0.218 3.446 0.396
Cl 2.399 8.341 0.120
Cl -2.443 4.312 7.099
Cl 4.154 5.415 -3.827
Cl -4.208 3.875 10.083
Cl -4.198 7.238 11.046
Cl 4.164 8.778 -2.864
CELL_PARAMETERS angstrom
6.922 1.527 -7.540
-1.459 10.169 1.318
-5.507 0.957 13.441
```

***

[3]
First-principles (PBE) data for an optimized crystal structure of Cs4Nd3TlO8, as listed in Alexandria via LeMat-Bulk. Values from VASP.

Values from the calculation:
E_form (uncorrected)	-2081	meV/atom

```
&SYSTEM
  ibrav = 0, nat = 16, ntyp = 4
/
ATOMIC_SPECIES
Cs 132.91 Cs.upf
Nd 144.24 Nd.upf
Tl 204.38 Tl.upf
O 16.00 O.upf
ATOMIC_POSITIONS angstrom
Cs -3.454 1.265 0.151
Cs -1.574 0.672 3.261
Cs 0.000 0.000 0.000
Cs 1.880 -0.594 3.110
Nd -4.746 -2.020 -1.875
Nd -2.866 -2.614 1.235
Nd 0.589 -3.879 1.085
Tl -1.292 -3.285 -2.026
O 0.266 -4.990 3.238
O -1.606 -4.402 0.148
O -0.689 -2.142 2.190
O -3.172 -3.731 3.388
O -2.560 -1.496 -0.917
O -5.042 -3.085 0.281
O -4.125 -0.825 2.323
O -5.997 -0.237 -0.767
CELL_PARAMETERS angstrom
-6.908 2.530 0.301
-2.584 -6.571 -4.051
3.761 -1.187 6.221
```

***

Short version: uncorrected energy = -3.712; -2.209; -5.815 eV per atom, in the order given.
Short version: mass density = 9.0; 3.5; 6.6 g cm⁻³, in the order given.